w.
A plane-wave DFT calculation with PBE was carried out for a relaxed NaSrRe2 crystal.

The structure in extended XYZ format:
```
4
Lattice="-4.4956 0.4629 2.1915 -3.1709 3.5915 -1.5077 -4.1639 -1.2253 -2.5273" Properties=species:S:1:pos:R:3 pbc="T T T"
Na 0.0000 0.0000 0.0000
Re -2.9576 0.7073 -0.4609
Re -8.8728 2.1218 -1.3827
Sr -5.9152 1.4145 -0.9218
```

Summary:
DOS at the Fermi energy in states/eV per cell: 4.9
Total magnetization in μB per atom: 1.2024
Space group: Fm-3m (225)
Volume in Å³ per atom: 22.4

x.
A plane-wave DFT calculation with PBE was carried out for a relaxed NaSrRe2 crystal.

The structure in extended XYZ format:
```
8
Lattice="8.4972 0.0000 0.0000 0.0000 8.4972 0.0000 4.2486 4.2486 2.4769" Properties=species:S:1:pos:R:3 pbc="T T T"
Re 6.0859 2.1243 0.6192
Re 2.4112 6.3729 0.6192
Re 6.3729 6.6598 1.8577
Re 10.6214 10.3345 1.8577
Na 4.2486 4.2486 0.0000
Na 4.2486 8.4972 1.2385
Sr 0.0000 0.0000 0.0000
Sr 8.4972 4.2486 1.2385
```

Summary:
DOS at the Fermi energy in states/eV per cell: 11.5
Total magnetization in μB per atom: 0.2269
Space group: I-42d (122)
Volume in Å³ per atom: 22.4

Most stable: x (next structure +34.6 kJ/mol of atoms)

w.
A plane-wave DFT calculation with PBE was carried out for a relaxed NaRe3Tc crystal.

The structure in extended XYZ format:
```
5
Lattice="4.3746 0.0000 0.0000 0.0000 4.3746 0.0000 0.0000 0.0000 4.3746" Properties=species:S:1:pos:R:3 pbc="T T T"
Re 0.0000 0.0000 2.1873
Re 2.1873 0.0000 0.0000
Re 0.0000 2.1873 0.0000
Na 0.0000 0.0000 0.0000
Tc 2.1873 2.1873 2.1873
```

Summary:
DOS at the Fermi energy in states/eV per cell: 7.6
Total magnetization in μB per atom: 0.0710
Space group: Pm-3m (221)
Volume in Å³ per atom: 16.7

x.
A plane-wave DFT calculation with PBE was carried out for a relaxed NaRe3Tc crystal.

The structure in extended XYZ format:
```
5
Lattice="-0.9547 3.1669 -3.4076 1.7973 -2.9574 -3.2521 -4.2908 -1.9435 -0.6040" Properties=species:S:1:pos:R:3 pbc="T T T"
Re 0.8987 -1.4787 -1.6260
Re -2.1454 -0.9717 -0.3020
Re -0.4774 1.5834 -1.7038
Tc 0.0000 0.0000 0.0000
Na -1.7241 -0.8670 -3.6319
```

Summary:
DOS at the Fermi energy in states/eV per cell: 4.1
Total magnetization in μB per atom: 0.4698
Space group: Pm-3m (221)
Volume in Å³ per atom: 21.4

Most stable: x (next structure +100.9 kJ/mol of atoms)

w.
A plane-wave DFT calculation with PBE was carried out for a relaxed NaReTc2 crystal.

The structure in extended XYZ format:
```
4
Lattice="0.0000 3.1136 3.1136 3.1136 0.0000 3.1136 3.1136 3.1136 0.0000" Properties=species:S:1:pos:R:3 pbc="T T T"
Re 3.1136 3.1136 3.1136
Na 0.0000 0.0000 0.0000
Tc 1.5568 1.5568 1.5568
Tc 4.6705 4.6705 4.6705
```

Summary:
DOS at the Fermi energy in states/eV per cell: 4.6
Total magnetization in μB per atom: 0.0000
Space group: Fm-3m (225)
Volume in Å³ per atom: 15.1

x.
A plane-wave DFT calculation with PBE was carried out for a relaxed NaReTc2 crystal.

The structure in extended XYZ format:
```
8
Lattice="7.2776 0.0000 0.0000 0.0000 7.2776 0.0000 3.6388 3.6388 2.7555" Properties=species:S:1:pos:R:3 pbc="T T T"
Tc 1.4342 5.4582 0.6889
Tc 5.4582 5.0730 2.0666
Tc 9.0969 9.4821 2.0666
Tc 5.8434 1.8194 0.6889
Na 3.6388 7.2776 1.3777
Na 3.6388 3.6388 0.0000
Re 0.0000 0.0000 0.0000
Re 7.2776 3.6388 1.3777
```

Summary:
DOS at the Fermi energy in states/eV per cell: 6.1
Total magnetization in μB per atom: 0.0000
Space group: I-42d (122)
Volume in Å³ per atom: 18.2

Most stable: w (next structure +38.7 kJ/mol of atoms)

w.
A plane-wave DFT calculation with PBE was carried out for a relaxed NaReTe2 crystal.

The structure in extended XYZ format:
```
4
Lattice="-4.3902 1.9113 0.8398 -1.8855 3.2203 -3.1156 -3.7714 -1.2494 -2.8015" Properties=species:S:1:pos:R:3 pbc="T T T"
Na 0.0000 0.0000 0.0000
Te -2.5118 0.9706 -1.2693
Te -7.5354 2.9117 -3.8080
Re -5.0236 1.9411 -2.5387
```

Summary:
DOS at the Fermi energy in states/eV per cell: 0.7
Total magnetization in μB per atom: 0.0000
Space group: Fm-3m (225)
Volume in Å³ per atom: 20.3

x.
A plane-wave DFT calculation with PBE was carried out for a relaxed NaReTe2 crystal.

The structure in extended XYZ format:
```
4
Lattice="-5.1969 3.9937 6.8122 -1.7238 5.7307 7.3178 -4.2174 7.0873 4.6202" Properties=species:S:1:pos:R:3 pbc="T T T"
Te -1.2345 1.8633 2.0782
Te -9.9036 14.9484 16.6720
Re -5.5690 8.4059 9.3751
Na 0.0000 0.0000 0.0000
```

Summary:
DOS at the Fermi energy in states/eV per cell: 1.8
Total magnetization in μB per atom: 0.4314
Space group: R-3m (166)
Volume in Å³ per atom: 30.5

Most stable: x (next structure +12.9 kJ/mol of atoms)